# 1
DFT (GGA-PBE) results for La2Zr after structural relaxation. Values from VASP.

```
&SYSTEM
  ibrav = 0, nat = 3, ntyp = 2
/
ATOMIC_SPECIES
La 138.91 La.upf
Zr 91.22 Zr.upf
CELL_PARAMETERS angstrom
1.161 4.669 2.917
-3.927 0.104 -4.028
-2.315 -0.821 2.235
ATOMIC_POSITIONS crystal
La 0.667 0.333 0.000
La 0.333 0.667 0.000
Zr 0.000 0.000 0.500
```

## Properties
Spin magnetization in μB per cell: 0.0
Density of states at the Fermi level in states/eV per atom: 1.7706
ΔE_f in meV/atom: 199.2

***

# 2
DFT (GGA-PBE) results for TcPPtCl2 after structural relaxation. Values from VASP.

```
&SYSTEM
  ibrav = 0, nat = 5, ntyp = 4
/
ATOMIC_SPECIES
P 30.97 P.upf
Tc 98.00 Tc.upf
Pt 195.08 Pt.upf
Cl 35.45 Cl.upf
CELL_PARAMETERS angstrom
-2.157 0.310 4.334
0.388 -4.806 0.536
4.261 0.576 2.080
ATOMIC_POSITIONS crystal
P 0.000 0.000 0.500
Tc 0.500 0.500 0.500
Pt 0.000 0.000 0.000
Cl 0.000 0.500 0.000
Cl 0.500 0.000 0.000
```

## Properties
Spin magnetization in μB per cell: 4.3
Density of states at the Fermi level in states/eV per atom: 0.3429
Energy relative to the elements, uncorrected in meV/atom: 849

***

# 3
DFT (GGA-PBE) results for AlCuSb after structural relaxation. Values from VASP.

```
&SYSTEM
  ibrav = 0, nat = 3, ntyp = 3
/
ATOMIC_SPECIES
Sb 121.76 Sb.upf
Al 26.98 Al.upf
Cu 63.55 Cu.upf
CELL_PARAMETERS angstrom
-2.196 1.314 -5.926
-0.184 -0.935 -6.443
-2.139 -2.152 -0.412
ATOMIC_POSITIONS crystal
Sb 0.680 0.680 0.320
Al 0.969 0.969 0.031
Cu 0.351 0.351 0.649
```

## Properties
Spin magnetization in μB per cell: 0.0
Density of states at the Fermi level in states/eV per atom: 0.4895
Energy relative to the elements, uncorrected in meV/atom: 177

***

# 4
DFT (GGA-PBE) results for HfTiCr4 after structural relaxation. Values from VASP.

```
&SYSTEM
  ibrav = 0, nat = 6, ntyp = 3
/
ATOMIC_SPECIES
Cr 52.00 Cr.upf
Hf 178.49 Hf.upf
Ti 47.87 Ti.upf
CELL_PARAMETERS angstrom
-4.829 0.971 0.313
-3.294 -3.347 -1.519
-2.789 -2.391 3.296
ATOMIC_POSITIONS crystal
Cr 0.625 0.625 0.124
Cr 0.625 0.124 0.625
Cr 0.625 0.625 0.625
Cr 0.124 0.625 0.625
Hf 0.250 0.250 0.250
Ti 0.000 0.000 0.000
```

## Properties
Spin magnetization in μB per cell: 0.0
Density of states at the Fermi level in states/eV per atom: 0.8254
ΔE_f in meV/atom: -115.4

***

# 5
DFT (GGA-PBE) results for ScTiGa after structural relaxation. Values from VASP.

```
&SYSTEM
  ibrav = 0, nat = 6, ntyp = 3
/
ATOMIC_SPECIES
Sc 44.96 Sc.upf
Ti 47.87 Ti.upf
Ga 69.72 Ga.upf
CELL_PARAMETERS angstrom
-2.683 2.748 0.869
-0.801 -1.852 3.382
5.210 4.002 3.426
ATOMIC_POSITIONS crystal
Sc 0.000 0.500 0.844
Sc 0.500 0.000 0.156
Ti 0.500 0.500 0.500
Ti 0.000 0.000 0.500
Ga 0.000 0.500 0.239
Ga 0.500 0.000 0.761
```

## Properties
Spin magnetization in μB per cell: 0.0
Density of states at the Fermi level in states/eV per atom: 0.9667
ΔE_f in meV/atom: -430.5

***

# 6
DFT (GGA-PBE) results for In3Pb7 after structural relaxation. Values from VASP.

```
&SYSTEM
  ibrav = 0, nat = 20, ntyp = 2
/
ATOMIC_SPECIES
In 114.82 In.upf
Pb 207.20 Pb.upf
CELL_PARAMETERS angstrom
-5.489 -2.942 -0.559
5.105 -8.978 -2.880
-2.074 1.904 10.345
ATOMIC_POSITIONS crystal
In 0.871 0.200 0.400
In 0.871 0.200 0.800
In 0.871 0.600 0.800
In 0.371 0.800 0.600
In 0.371 0.800 0.200
In 0.371 0.400 0.200
Pb 0.057 0.667 0.333
Pb 0.557 0.333 0.667
Pb 0.866 0.891 0.782
Pb 0.866 0.891 0.109
Pb 0.866 0.218 0.109
Pb 0.366 0.109 0.218
Pb 0.366 0.109 0.891
Pb 0.366 0.782 0.891
Pb 0.213 0.468 0.935
Pb 0.213 0.468 0.532
Pb 0.213 0.065 0.532
Pb 0.713 0.532 0.065
Pb 0.713 0.532 0.468
Pb 0.713 0.935 0.468
```

## Properties
Spin magnetization in μB per cell: 0.0
Density of states at the Fermi level in states/eV per atom: 0.4115
ΔE_f in meV/atom: 70.0

***

# 7
DFT (GGA-PBE) results for MnCd4Au after structural relaxation. Values from VASP.

```
&SYSTEM
  ibrav = 0, nat = 6, ntyp = 3
/
ATOMIC_SPECIES
Mn 54.94 Mn.upf
Cd 112.41 Cd.upf
Au 196.97 Au.upf
CELL_PARAMETERS angstrom
0.000 3.977 3.977
3.977 0.000 3.977
3.977 3.977 0.000
ATOMIC_POSITIONS crystal
Mn 0.750 0.750 0.750
Cd 0.875 0.375 0.375
Cd 0.375 0.375 0.875
Cd 0.375 0.875 0.375
Cd 0.375 0.375 0.375
Au 0.000 0.000 0.000
```

## Properties
Spin magnetization in μB per cell: 4.3
Density of states at the Fermi level in states/eV per atom: 0.5267
ΔE_f in meV/atom: 295.6

***

# 8
DFT (GGA-PBE) results for La4Ge2IBr after structural relaxation. Values from VASP.

```
&SYSTEM
  ibrav = 0, nat = 8, ntyp = 4
/
ATOMIC_SPECIES
La 138.91 La.upf
Ge 72.64 Ge.upf
I 126.90 I.upf
Br 79.90 Br.upf
CELL_PARAMETERS angstrom
6.289 0.343 0.000
-0.342 6.289 0.000
-2.973 -3.316 6.218
ATOMIC_POSITIONS crystal
La 0.937 0.437 0.000
La 0.437 0.937 0.000
La 0.192 0.192 0.509
La 0.683 0.683 0.491
Ge 0.187 0.687 0.500
Ge 0.687 0.187 0.500
I 0.937 0.937 0.000
Br 0.437 0.437 0.000
```

## Properties
Spin magnetization in μB per cell: 0.0
Density of states at the Fermi level in states/eV per atom: 0.6139
Energy relative to the elements, uncorrected in meV/atom: -1080

***

# 9
DFT (GGA-PBE) results for Rb2TlPd2 after structural relaxation. Values from VASP.

```
&SYSTEM
  ibrav = 0, nat = 5, ntyp = 3
/
ATOMIC_SPECIES
Rb 85.47 Rb.upf
Tl 204.38 Tl.upf
Pd 106.42 Pd.upf
CELL_PARAMETERS angstrom
-2.588 -3.646 1.649
2.167 -3.771 1.947
-0.608 2.119 10.613
ATOMIC_POSITIONS crystal
Rb 0.425 0.425 0.725
Rb 0.575 0.575 0.275
Tl 0.000 0.000 0.000
Pd 0.679 0.679 0.962
Pd 0.321 0.321 0.038
```

## Properties
Spin magnetization in μB per cell: 0.0
Density of states at the Fermi level in states/eV per atom: 0.6141
ΔE_f in meV/atom: -156.6

***

# 10
DFT (GGA-PBE) results for TiFePd3 after structural relaxation. Values from VASP.

```
&SYSTEM
  ibrav = 0, nat = 5, ntyp = 3
/
ATOMIC_SPECIES
Fe 55.84 Fe.upf
Pd 106.42 Pd.upf
Ti 47.87 Ti.upf
CELL_PARAMETERS angstrom
4.605 0.000 0.000
0.000 4.605 0.000
0.000 0.000 4.605
ATOMIC_POSITIONS crystal
Fe 0.500 0.500 0.500
Pd 0.000 0.500 0.000
Pd 0.000 0.000 0.500
Pd 0.500 0.000 0.000
Ti 0.000 0.000 0.000
```

## Properties
Spin magnetization in μB per cell: 3.1
Density of states at the Fermi level in states/eV per atom: 1.4112
ΔE_f in meV/atom: 760.4

***

# 11
DFT (GGA-PBE) results for Sc3Ga2Rh after structural relaxation. Values from VASP.

```
&SYSTEM
  ibrav = 0, nat = 6, ntyp = 3
/
ATOMIC_SPECIES
Sc 44.96 Sc.upf
Ga 69.72 Ga.upf
Rh 102.91 Rh.upf
CELL_PARAMETERS angstrom
3.326 0.000 0.000
0.000 3.326 0.000
0.000 0.000 9.897
ATOMIC_POSITIONS crystal
Sc 0.000 0.000 0.000
Sc 0.000 0.000 0.655
Sc 0.000 0.000 0.345
Ga 0.500 0.500 0.827
Ga 0.500 0.500 0.173
Rh 0.500 0.500 0.500
```

## Properties
Spin magnetization in μB per cell: 0.0
Density of states at the Fermi level in states/eV per atom: 0.4395
ΔE_f in meV/atom: -748.8

***

# 12
DFT (GGA-PBE) results for Pa3Ni5Ge after structural relaxation. Values from VASP.

```
&SYSTEM
  ibrav = 0, nat = 18, ntyp = 3
/
ATOMIC_SPECIES
Pa 231.04 Pa.upf
Ni 58.69 Ni.upf
Ge 72.64 Ge.upf
CELL_PARAMETERS angstrom
-0.152 -1.444 5.344
5.683 -5.499 -1.324
2.053 7.468 2.077
ATOMIC_POSITIONS crystal
Pa 0.750 0.344 0.000
Pa 0.750 0.656 0.656
Pa 0.750 0.000 0.344
Pa 0.250 0.656 0.000
Pa 0.250 0.344 0.344
Pa 0.250 0.000 0.656
Ni 0.000 0.333 0.667
Ni 0.500 0.667 0.333
Ni 0.000 0.667 0.333
Ni 0.500 0.333 0.667
Ni 0.750 0.670 0.000
Ni 0.750 0.330 0.330
Ni 0.750 0.000 0.670
Ni 0.250 0.330 0.000
Ni 0.250 0.670 0.670
Ni 0.250 0.000 0.330
Ge 0.000 0.000 0.000
Ge 0.500 0.000 0.000
```

## Properties
Spin magnetization in μB per cell: 0.0
Density of states at the Fermi level in states/eV per atom: 0.8694
ΔE_f in meV/atom: -335.4

***

# 13
DFT (GGA-PBE) results for BeCdNiAu2 after structural relaxation. Values from VASP.

```
&SYSTEM
  ibrav = 0, nat = 5, ntyp = 4
/
ATOMIC_SPECIES
Ni 58.69 Ni.upf
Au 196.97 Au.upf
Be 9.01 Be.upf
Cd 112.41 Cd.upf
CELL_PARAMETERS angstrom
4.780 0.000 0.000
0.000 4.758 0.000
0.000 0.000 4.780
ATOMIC_POSITIONS crystal
Ni 0.000 0.000 0.000
Au 0.000 0.000 0.500
Au 0.500 0.000 0.000
Be 0.500 0.500 0.500
Cd 0.000 0.500 0.000
```

## Properties
Spin magnetization in μB per cell: 0.0
Density of states at the Fermi level in states/eV per atom: 0.6731
ΔE_f in meV/atom: 898.5

***

# 14
DFT (GGA-PBE) results for AlZnCl2 after structural relaxation. Values from VASP.

```
&SYSTEM
  ibrav = 0, nat = 4, ntyp = 3
/
ATOMIC_SPECIES
Zn 65.41 Zn.upf
Al 26.98 Al.upf
Cl 35.45 Cl.upf
CELL_PARAMETERS angstrom
0.000 3.514 3.514
3.514 0.000 3.514
3.514 3.514 0.000
ATOMIC_POSITIONS crystal
Zn 0.500 0.500 0.500
Al 0.000 0.000 0.000
Cl 0.250 0.250 0.250
Cl 0.750 0.750 0.750
```

## Properties
Spin magnetization in μB per cell: 0.0
Density of states at the Fermi level in states/eV per atom: 0.9817
Energy relative to the elements, uncorrected in meV/atom: -142

***

# 15
DFT (GGA-PBE) results for Sm2TmPaSb5 after structural relaxation. Values from VASP.

```
&SYSTEM
  ibrav = 0, nat = 9, ntyp = 4
/
ATOMIC_SPECIES
Sm 150.36 Sm.upf
Tm 168.93 Tm.upf
Pa 231.04 Pa.upf
Sb 121.76 Sb.upf
CELL_PARAMETERS angstrom
5.480 0.000 0.000
0.000 5.480 0.000
0.000 0.000 11.533
ATOMIC_POSITIONS crystal
Sm 0.500 0.500 0.276
Sm 0.500 0.500 0.724
Tm 0.000 0.000 0.000
Pa 0.000 0.000 0.500
Sb 0.000 0.500 0.500
Sb 0.500 0.000 0.500
Sb 0.000 0.000 0.755
Sb 0.000 0.000 0.245
Sb 0.500 0.500 0.000
```

## Properties
Spin magnetization in μB per cell: 0.0
Density of states at the Fermi level in states/eV per atom: 0.6714
Energy relative to the elements, uncorrected in meV/atom: -129

***

# 16
DFT (GGA-PBE) results for Li2Pr3In7 after structural relaxation. Values from VASP.

```
&SYSTEM
  ibrav = 0, nat = 12, ntyp = 3
/
ATOMIC_SPECIES
Li 6.94 Li.upf
Pr 140.91 Pr.upf
In 114.82 In.upf
CELL_PARAMETERS angstrom
4.491 0.000 0.000
0.000 4.701 0.000
0.000 -2.350 14.593
ATOMIC_POSITIONS crystal
Li 0.000 0.864 0.728
Li 0.000 0.136 0.272
Pr 0.500 0.500 0.000
Pr 0.500 0.676 0.351
Pr 0.500 0.324 0.649
In 0.000 0.415 0.829
In 0.000 0.777 0.553
In 0.000 0.000 0.000
In 0.000 0.585 0.171
In 0.500 0.084 0.168
In 0.500 0.916 0.832
In 0.000 0.223 0.447
```

## Properties
Spin magnetization in μB per cell: 0.0
Density of states at the Fermi level in states/eV per atom: 0.5122
ΔE_f in meV/atom: -383.3

***

# 17
DFT (GGA-PBE) results for La3CoH after structural relaxation. Values from VASP.

```
&SYSTEM
  ibrav = 0, nat = 10, ntyp = 3
/
ATOMIC_SPECIES
La 138.91 La.upf
Co 58.93 Co.upf
H 1.01 H.upf
CELL_PARAMETERS angstrom
3.723 0.000 0.000
0.000 9.172 -3.041
0.000 -0.511 7.362
ATOMIC_POSITIONS crystal
La 0.250 0.672 0.342
La 0.750 0.328 0.658
La 0.250 0.028 0.764
La 0.750 0.328 0.168
La 0.750 0.972 0.236
La 0.250 0.672 0.832
Co 0.750 0.622 0.061
Co 0.250 0.378 0.939
H 0.750 0.812 0.656
H 0.250 0.188 0.344
```

## Properties
Spin magnetization in μB per cell: 0.0
Density of states at the Fermi level in states/eV per atom: 0.7369
Raw total energy in eV per atom: -5.1776

***

# 18
DFT (GGA-PBE) results for GaSnN after structural relaxation. Values from VASP.

```
&SYSTEM
  ibrav = 0, nat = 12, ntyp = 3
/
ATOMIC_SPECIES
Sn 118.71 Sn.upf
Ga 69.72 Ga.upf
N 14.01 N.upf
CELL_PARAMETERS angstrom
7.045 0.000 -0.037
0.000 3.245 0.000
-0.085 0.000 10.090
ATOMIC_POSITIONS crystal
Sn 0.444 0.000 0.745
Sn 0.444 0.500 0.245
Sn 0.798 0.000 0.560
Sn 0.798 0.500 0.060
Ga 0.218 0.000 0.970
Ga 0.218 0.500 0.470
Ga 0.018 0.000 0.240
Ga 0.018 0.500 0.740
N 0.062 0.000 0.432
N 0.062 0.500 0.932
N 0.275 0.000 0.158
N 0.275 0.500 0.658
```

## Properties
Spin magnetization in μB per cell: 0.0
Density of states at the Fermi level in states/eV per atom: 0.3144
Energy relative to the elements, uncorrected in meV/atom: 54

***

# 19
DFT (GGA-PBE) results for LiPa2Pt3 after structural relaxation. Values from VASP.

```
&SYSTEM
  ibrav = 0, nat = 12, ntyp = 3
/
ATOMIC_SPECIES
Li 6.94 Li.upf
Pa 231.04 Pa.upf
Pt 195.08 Pt.upf
CELL_PARAMETERS angstrom
-1.220 4.525 -0.427
-4.020 -4.143 -6.527
-0.909 -1.890 8.457
ATOMIC_POSITIONS crystal
Li 0.250 0.420 0.580
Li 0.750 0.580 0.420
Pa 0.250 0.095 0.905
Pa 0.250 0.715 0.285
Pa 0.750 0.905 0.095
Pa 0.750 0.285 0.715
Pt 0.481 0.791 0.672
Pt 0.981 0.672 0.791
Pt 0.500 0.500 0.000
Pt 0.519 0.209 0.328
Pt 0.000 0.000 0.500
Pt 0.019 0.328 0.209
```

## Properties
Spin magnetization in μB per cell: 0.0
Density of states at the Fermi level in states/eV per atom: 1.3041
ΔE_f in meV/atom: -796.1

***

# 20
DFT (GGA-PBE) results for HfCu2Pd4 after structural relaxation. Values from VASP.

```
&SYSTEM
  ibrav = 0, nat = 14, ntyp = 3
/
ATOMIC_SPECIES
Hf 178.49 Hf.upf
Cu 63.55 Cu.upf
Pd 106.42 Pd.upf
CELL_PARAMETERS angstrom
5.376 -0.549 -0.160
-0.849 6.470 -0.640
-2.429 -3.840 6.872
ATOMIC_POSITIONS crystal
Hf 0.278 0.670 0.454
Hf 0.079 0.997 0.019
Cu 0.476 0.395 0.696
Cu 0.813 0.866 0.428
Cu 0.672 0.339 0.177
Cu 0.013 0.413 0.738
Pd 0.996 0.208 0.365
Pd 0.326 0.532 0.107
Pd 0.778 0.606 0.576
Pd 0.753 0.104 0.795
Pd 0.453 0.058 0.349
Pd 0.249 0.079 0.770
Pd 0.495 0.841 0.946
Pd 0.866 0.642 0.080
```

## Properties
Spin magnetization in μB per cell: 0.0
Density of states at the Fermi level in states/eV per atom: 0.3607
ΔE_f in meV/atom: -348.3